Entry 1:
# PBE LiLa2InCu6, optimized geometry
data_LiLa2InCu6
_chemical_formula_sum 'Li1 La2 In1 Cu6'
_cell_length_a 5.0763
_cell_length_b 6.7137
_cell_length_c 6.7219
_cell_angle_alpha 82.73
_cell_angle_beta 67.85
_cell_angle_gamma 67.81
_symmetry_space_group_name_H-M 'P -1'
_symmetry_Int_Tables_number 2
loop_
_symmetry_equiv_pos_as_xyz
'x,y,z'
'-x,-y,-z'
loop_
_atom_site_label
_atom_site_fract_x
_atom_site_fract_y
_atom_site_fract_z
Li1 0.0000 0.0000 0.0000
La1 0.4526 0.7992 0.2957
In1 0.0000 0.5000 0.5000
Cu1 0.0089 0.2558 0.2222
Cu2 0.1864 0.5655 0.0641
Cu3 0.4873 0.7440 0.7766
# Magnetization ... 0.000 μB/cell
# Calculated density ... 6.601 g/cm3
# DFT total energy ... -3.98 eV/atom
# Crystal system ... triclinic
# DOS at the Fermi energy ... 7.7 states/eV/f.u.

Entry 2:
# PBE LiZrUN3, optimized geometry
data_LiZrUN3
_chemical_formula_sum 'Li2 Zr2 U2 N6'
_cell_length_a 6.7092
_cell_length_b 3.2111
_cell_length_c 6.9691
_cell_angle_alpha 90.00
_cell_angle_beta 103.00
_cell_angle_gamma 90.00
_symmetry_space_group_name_H-M 'P 1 21/m 1'
_symmetry_Int_Tables_number 11
loop_
_symmetry_equiv_pos_as_xyz
'x,y,z'
'-x,-y,-z'
'-x,y+1/2,-z'
'x,-y+1/2,z'
loop_
_atom_site_label
_atom_site_fract_x
_atom_site_fract_y
_atom_site_fract_z
Li1 0.0884 0.2500 0.0837
Zr1 0.3202 0.7500 0.3413
U1 0.2808 0.7500 0.8128
N1 0.0198 0.2500 0.7996
N2 0.3348 0.2500 0.5748
N3 0.3760 0.2500 0.1194
# Magnetization ... 2.911 μB/cell
# Calculated density ... 8.586 g/cm3
# Crystal system ... monoclinic
# Energy relative to the elements, uncorrected ... -1.13 eV per atom
# DOS at the Fermi energy ... 3.6 states/eV/f.u.

Entry 3:
# PBE ErU2Se5, optimized geometry
data_ErU2Se5
_chemical_formula_sum 'Er1 U2 Se5'
_cell_length_a 6.8852
_cell_length_b 6.8852
_cell_length_c 4.8688
_cell_angle_alpha 90.00
_cell_angle_beta 90.00
_cell_angle_gamma 90.00
_symmetry_space_group_name_H-M 'P 4/m m m'
_symmetry_Int_Tables_number 123
_symmetry_space_group_name_Hall '-P 4 2'
loop_
_atom_site_label
_atom_site_fract_x
_atom_site_fract_y
_atom_site_fract_z
Er1 0.0000 0.0000 0.0000
U1 0.0000 0.5000 0.5000
Se1 0.0000 0.0000 0.5000
Se2 0.2800 0.2800 0.0000
# Magnetization ... 5.833 μB/cell
# Calculated density ... 7.469 g/cm3
# Crystal system ... tetragonal
# Energy relative to the elements, uncorrected ... -0.54 eV per atom
# DOS at the Fermi energy ... 11.5 states/eV/f.u.

Entry 4:
# PBE Zr3BeMo, optimized geometry
data_Zr3BeMo
_chemical_formula_sum 'Zr3 Be1 Mo1'
_cell_length_a 5.0126
_cell_length_b 5.0126
_cell_length_c 5.0126
_cell_angle_alpha 90.00
_cell_angle_beta 90.00
_cell_angle_gamma 90.00
_symmetry_space_group_name_H-M 'P m -3 m'
_symmetry_Int_Tables_number 221
_symmetry_space_group_name_Hall '-P 4 2 3'
loop_
_atom_site_label
_atom_site_fract_x
_atom_site_fract_y
_atom_site_fract_z
Zr1 0.0000 0.0000 0.5000
Be1 0.5000 0.5000 0.5000
Mo1 0.0000 0.0000 0.0000
# Magnetization ... 0.000 μB/cell
# Calculated density ... 4.992 g/cm3
# Crystal system ... cubic
# Excess energy over the best structure of this formula in the dataset ... 437 meV/atom
# DOS at the Fermi energy ... 7.9 states/eV/f.u.

Entry 5:
# PBE Ba3PPb, optimized geometry
data_Ba3PPb
_chemical_formula_sum 'Ba3 P1 Pb1'
_cell_length_a 6.1893
_cell_length_b 6.1893
_cell_length_c 6.1893
_cell_angle_alpha 90.00
_cell_angle_beta 90.00
_cell_angle_gamma 90.00
_symmetry_space_group_name_H-M 'P m -3 m'
_symmetry_Int_Tables_number 221
_symmetry_space_group_name_Hall '-P 4 2 3'
loop_
_atom_site_label
_atom_site_fract_x
_atom_site_fract_y
_atom_site_fract_z
Ba1 0.0000 0.0000 0.5000
P1 0.0000 0.0000 0.0000
Pb1 0.5000 0.5000 0.5000
# Magnetization ... 0.821 μB/cell
# Calculated density ... 4.553 g/cm3
# Crystal system ... cubic
# Excess energy over the best structure of this formula in the dataset ... 140 meV/atom
# DOS at the Fermi energy ... 9.0 states/eV/f.u.

Entry 6:
# PBE TlTc3, optimized geometry
data_TlTc3
_chemical_formula_sum 'Tl1 Tc3'
_cell_length_a 2.8914
_cell_length_b 3.9975
_cell_length_c 5.7942
_cell_angle_alpha 90.00
_cell_angle_beta 90.00
_cell_angle_gamma 90.00
_symmetry_space_group_name_H-M 'P m m m'
_symmetry_Int_Tables_number 47
loop_
_symmetry_equiv_pos_as_xyz
'x,y,z'
'-x,-y,-z'
'-x,-y,z'
'x,y,-z'
'x,-y,-z'
'-x,y,z'
'-x,y,-z'
'x,-y,z'
loop_
_atom_site_label
_atom_site_fract_x
_atom_site_fract_y
_atom_site_fract_z
Tl1 0.0000 0.0000 0.0000
Tc1 0.0000 0.0000 0.5000
Tc2 0.5000 0.5000 0.2940
# Magnetization ... 0.000 μB/cell
# Calculated density ... 12.357 g/cm3
# Crystal system ... orthorhombic
# Excess energy over the best structure of this formula in the dataset ... 47 meV/atom
# DOS at the Fermi energy ... 3.4 states/eV/f.u.